1.
Li2AgPt | Alexandria via LeMat-Bulk | GGA-PBEsol | optimized geometry; D(E_F) = 1.1 states/eV/f.u.; size of the total moment = 0.0000 μB/atom; total DFT energy (no corrections) = -3.864 eV/atom
1.0
-2.1985 -1.6442 0.9858
0.7692 -2.8712 -3.0731
3.5214 0.1222 3.7414
Pt Ag Li
1 1 2
Direct
0.4907 0.4907 0.9814
0.2563 0.7563 0.5126
0.0019 0.0019 0.0038
0.7511 0.2511 0.5022

2.
Li2AgPt | Alexandria via LeMat-Bulk | GGA-PBEsol | optimized geometry; D(E_F) = 1.0 states/eV/f.u.; size of the total moment = 0.0000 μB/atom; total DFT energy (no corrections) = -3.899 eV/atom
1.0
-1.2105 -1.7704 1.7455
-1.3667 -1.8787 -2.8534
4.5314 -3.1763 -0.0791
Ag Li Pt
1 2 1
Direct
0.5000 0.5000 0.5000
0.0000 0.0000 0.2260
0.0000 0.0000 0.7740
0.5000 0.5000 0.0000

3.
Li2AgPt | Alexandria via LeMat-Bulk | GGA-PBEsol | optimized geometry; D(E_F) = 1.2 states/eV/f.u.; size of the total moment = 0.0000 μB/atom; total DFT energy (no corrections) = -3.852 eV/atom
1.0
3.8596 0.0006 -0.0100
0.0006 3.8596 -0.0100
-1.9202 -1.9202 3.8804
Li Pt Ag
2 1 1
Direct
0.7500 0.2500 0.5000
0.9999 0.0001 0.0000
0.5001 0.4999 0.0000
0.2500 0.7500 0.5000

4.
Li2AgPt | Alexandria via LeMat-Bulk | GGA-PBEsol | optimized geometry; D(E_F) = 1.2 states/eV/f.u.; size of the total moment = 0.0000 μB/atom; total DFT energy (no corrections) = -3.876 eV/atom
1.0
2.8568 0.0000 0.0000
-1.4284 4.3111 -0.0056
0.0000 -0.9676 4.6633
Pt Ag Li
1 1 2
Direct
0.0000 0.0000 0.5000
0.5000 0.0000 0.0000
0.7466 0.4931 0.7316
0.2534 0.5069 0.2684

5.
LiAg2Pt2 | Alexandria via LeMat-Bulk | GGA-PBEsol | optimized geometry; D(E_F) = 5.5 states/eV/f.u.; size of the total moment = 0.0003 μB/atom; total DFT energy (no corrections) = -4.220 eV/atom
1.0
-1.2008 1.4198 -3.3334
1.1507 -3.1805 -1.7691
-5.6125 -1.6819 3.4907
Li Pt Ag
1 2 2
Direct
0.0000 0.0000 0.0000
0.5979 0.5979 0.1959
0.4021 0.4021 0.8041
0.2500 0.7500 0.5000
0.7500 0.2500 0.5000

6.
LiAg2Pt | Alexandria via LeMat-Bulk | GGA-PBEsol | optimized geometry; D(E_F) = 1.1 states/eV/f.u.; size of the total moment = 0.0000 μB/atom; total DFT energy (no corrections) = -4.090 eV/atom
1.0
-1.6314 2.3054 -0.6360
0.6666 -0.7940 -4.5882
-3.8576 -2.3862 1.2455
Ag Li Pt
2 1 1
Direct
0.0000 0.5000 0.0000
0.0000 0.0000 0.5000
0.5000 0.0000 0.0000
0.5000 0.5000 0.5000